Record 1
DFT (PBE) results for crystalline MnBRh at its relaxed geometry.

Computed properties:
energy of formation from the pure elements	0.8	eV per formula unit

Unit cell a=3.3952 b=3.3952 c=23.4456 alpha=90.00 beta=90.00 gamma=120.00
Space group R3m (No. 160, hexagonal axes)
One atom of each set of equivalent atoms:
1 Mn 0.0000 0.0000 0.0000 x3
2 Mn 0.0000 0.0000 0.1877 x3
3 B 0.0000 0.0000 0.1001 x3
4 B 0.0000 0.0000 0.6905 x3
5 Rh 0.0000 0.0000 0.4170 x3
6 Rh 0.0000 0.0000 0.5939 x3



Record 2
DFT (PBE) results for crystalline MnBRu2Rh at its relaxed geometry.

Computed properties:
energy of formation from the pure elements	1.1	eV per formula unit

Unit cell a=4.009 b=4.009 c=3.895 alpha=90.00 beta=90.00 gamma=90.00
Space group P4/mmm (No. 123)
One atom of each set of equivalent atoms:
1 Mn 0.000 0.000 0.000 x1
2 B 0.000 0.000 0.500 x1
3 Ru 0.000 0.500 0.500 x2
4 Rh 0.500 0.500 0.000 x1